Crystalline Cs2GaP at its relaxed geometry, computed with GGA-PBE.

Unit cell a=5.989 b=5.989 c=5.989 alpha=60.00 beta=60.00 gamma=60.00
Element x y z (fractional)
Cs: 0.250 0.250 0.250
Cs: 0.750 0.750 0.750
P: 0.000 0.000 0.000
Ga: 0.500 0.500 0.500

Crystal system: cubic
Total moment (μB/atom): 0.000
Electronic total energy (eV per atom): -2.282
Energy relative to the lowest polymorph listed for this composition (eV/atom): 0.536
Space-group type: Fm-3m (225)